No. 1
This record from the Alexandria database describes an optimized crystal structure of H3Os. The functional is PBE.

Geometry as CIF:
```
data_H3Os
_space_group_name_H-M_alt 'P 1'
_space_group_IT_number 1
_cell_length_a 2.836
_cell_length_b 2.836
_cell_length_c 3.710
_cell_angle_alpha 90.00
_cell_angle_beta 90.00
_cell_angle_gamma 120.00
loop_
_space_group_symop_operation_xyz
'x,y,z'
loop_
_atom_site_label
_atom_site_type_symbol
_atom_site_fract_x
_atom_site_fract_y
_atom_site_fract_z
H1 H 0.000 0.000 0.000
H2 H 0.333 0.667 0.258
H3 H 0.333 0.667 0.742
Os1 Os 0.000 0.000 0.500
```

Calculated values
Space group: P-6m2
Energy above the lowest structure with this stoichiometry in kcal/mol of atoms: 3.622
Fermi-level density of states in states/eV/cell: 1.540
Total magnetization in μB per atom: 0.0000

***

No. 2
This record from the Alexandria database describes an optimized crystal structure of YZrCl2. The functional is PBE.

Geometry as CIF:
```
data_YZrCl2
_space_group_name_H-M_alt 'P 1'
_space_group_IT_number 1
_cell_length_a 3.367
_cell_length_b 3.367
_cell_length_c 27.804
_cell_angle_alpha 90.00
_cell_angle_beta 90.00
_cell_angle_gamma 120.00
loop_
_space_group_symop_operation_xyz
'x,y,z'
loop_
_atom_site_label
_atom_site_type_symbol
_atom_site_fract_x
_atom_site_fract_y
_atom_site_fract_z
Y1 Y 0.000 0.000 0.000
Y2 Y 0.333 0.667 0.667
Y3 Y 0.667 0.333 0.333
Zr1 Zr 0.000 0.000 0.500
Zr2 Zr 0.333 0.667 0.167
Zr3 Zr 0.667 0.333 0.833
Cl1 Cl 0.000 0.000 0.405
Cl2 Cl 0.000 0.000 0.595
Cl3 Cl 0.333 0.667 0.072
Cl4 Cl 0.333 0.667 0.261
Cl5 Cl 0.667 0.333 0.739
Cl6 Cl 0.667 0.333 0.928
```

Calculated values
Energy relative to the elements, uncorrected in meV per atom: -1000.0
Space group: R-3m
Energy above the lowest structure with this stoichiometry in kcal/mol of atoms: 7.611
Fermi-level density of states in states/eV/cell: 12.004
Total magnetization in μB per atom: 0.0021

***

No. 3
This record from the Alexandria database describes an optimized crystal structure of Nd3Zn2SnPd9. The functional is PBE.

Geometry as CIF:
```
data_Nd3Zn2SnPd9
_space_group_name_H-M_alt 'P 1'
_space_group_IT_number 1
_cell_length_a 5.701
_cell_length_b 5.701
_cell_length_c 11.859
_cell_angle_alpha 90.00
_cell_angle_beta 90.00
_cell_angle_gamma 120.00
loop_
_space_group_symop_operation_xyz
'x,y,z'
loop_
_atom_site_label
_atom_site_type_symbol
_atom_site_fract_x
_atom_site_fract_y
_atom_site_fract_z
Nd1 Nd 0.000 0.000 0.000
Nd2 Nd 0.333 0.667 0.760
Nd3 Nd 0.667 0.333 0.240
Zn1 Zn 0.333 0.667 0.163
Zn2 Zn 0.667 0.333 0.837
Sn1 Sn 0.000 0.000 0.500
Pd1 Pd 0.000 0.500 0.000
Pd2 Pd 0.167 0.335 0.325
Pd3 Pd 0.167 0.833 0.325
Pd4 Pd 0.335 0.167 0.675
Pd5 Pd 0.500 0.000 0.000
Pd6 Pd 0.500 0.500 0.000
Pd7 Pd 0.665 0.833 0.325
Pd8 Pd 0.833 0.167 0.675
Pd9 Pd 0.833 0.665 0.675
```

Calculated values
Space group: P-3m1
Formation energy in meV per atom: -525
Fermi-level density of states in states/eV/cell: 5.149
Total magnetization in μB per atom: 0.0000

***

No. 4
This record from the Alexandria database describes an optimized crystal structure of RbLiHg3. The functional is PBE.

Geometry as CIF:
```
data_RbLiHg3
_space_group_name_H-M_alt 'P 1'
_space_group_IT_number 1
_cell_length_a 5.864
_cell_length_b 7.296
_cell_length_c 7.795
_cell_angle_alpha 116.70
_cell_angle_beta 91.27
_cell_angle_gamma 90.12
loop_
_space_group_symop_operation_xyz
'x,y,z'
loop_
_atom_site_label
_atom_site_type_symbol
_atom_site_fract_x
_atom_site_fract_y
_atom_site_fract_z
Rb1 Rb 0.000 0.147 0.293
Rb2 Rb 0.000 0.853 0.707
Li1 Li 0.343 0.606 0.207
Li2 Li 0.657 0.394 0.793
Hg1 Hg 0.144 0.405 0.815
Hg2 Hg 0.496 0.204 0.007
Hg3 Hg 0.500 0.000 0.500
Hg4 Hg 0.500 0.500 0.500
Hg5 Hg 0.504 0.796 0.993
Hg6 Hg 0.856 0.595 0.185
```

Calculated values
Space group: P-1
Energy above the lowest structure with this stoichiometry in kcal/mol of atoms: 0.000
Formation energy in meV per atom: -238
Fermi-level density of states in states/eV/cell: 4.694
Total magnetization in μB per atom: 0.0000

***

No. 5
This record from the Alexandria database describes an optimized crystal structure of TbSc2Cu3. The functional is PBE.

Geometry as CIF:
```
data_TbSc2Cu3
_space_group_name_H-M_alt 'P 1'
_space_group_IT_number 1
_cell_length_a 3.313
_cell_length_b 3.313
_cell_length_c 10.107
_cell_angle_alpha 90.00
_cell_angle_beta 90.00
_cell_angle_gamma 90.00
loop_
_space_group_symop_operation_xyz
'x,y,z'
loop_
_atom_site_label
_atom_site_type_symbol
_atom_site_fract_x
_atom_site_fract_y
_atom_site_fract_z
Tb1 Tb 0.000 0.000 0.000
Sc1 Sc 0.000 0.000 0.341
Sc2 Sc 0.000 0.000 0.659
Cu1 Cu 0.500 0.500 0.190
Cu2 Cu 0.500 0.500 0.500
Cu3 Cu 0.500 0.500 0.810
```

Calculated values
Space group: P4/mmm
Formation energy in meV per atom: -256
Fermi-level density of states in states/eV/cell: 3.027
Total magnetization in μB per atom: 0.0000

***

No. 6
This record from the Alexandria database describes an optimized crystal structure of TmCd2Pb2. The functional is PBE.

Geometry as CIF:
```
data_TmCd2Pb2
_space_group_name_H-M_alt 'P 1'
_space_group_IT_number 1
_cell_length_a 12.424
_cell_length_b 12.424
_cell_length_c 4.604
_cell_angle_alpha 90.00
_cell_angle_beta 90.00
_cell_angle_gamma 158.85
loop_
_space_group_symop_operation_xyz
'x,y,z'
loop_
_atom_site_label
_atom_site_type_symbol
_atom_site_fract_x
_atom_site_fract_y
_atom_site_fract_z
Tm1 Tm 0.145 0.855 0.750
Tm2 Tm 0.855 0.145 0.250
Cd1 Cd 0.042 0.958 0.250
Cd2 Cd 0.456 0.544 0.250
Cd3 Cd 0.544 0.456 0.750
Cd4 Cd 0.958 0.042 0.750
Pb1 Pb 0.249 0.751 0.250
Pb2 Pb 0.365 0.635 0.750
Pb3 Pb 0.635 0.365 0.250
Pb4 Pb 0.751 0.249 0.750
```

Calculated values
Space group: Cmcm
Formation energy in meV per atom: -193
Fermi-level density of states in states/eV/cell: 4.899
Total magnetization in μB per atom: 0.0000

***

No. 7
This record from the Alexandria database describes an optimized crystal structure of FeAsC. The functional is PBE.

Geometry as CIF:
```
data_FeAsC
_space_group_name_H-M_alt 'P 1'
_space_group_IT_number 1
_cell_length_a 9.264
_cell_length_b 2.910
_cell_length_c 7.007
_cell_angle_alpha 90.00
_cell_angle_beta 115.40
_cell_angle_gamma 90.00
loop_
_space_group_symop_operation_xyz
'x,y,z'
loop_
_atom_site_label
_atom_site_type_symbol
_atom_site_fract_x
_atom_site_fract_y
_atom_site_fract_z
Fe1 Fe 0.000 0.000 0.000
Fe2 Fe 0.232 0.500 0.948
Fe3 Fe 0.500 0.500 0.000
Fe4 Fe 0.732 0.000 0.948
As1 As 0.037 0.000 0.687
As2 As 0.203 0.000 0.375
As3 As 0.537 0.500 0.687
As4 As 0.703 0.500 0.375
C1 C 0.187 0.500 0.179
C2 C 0.368 0.000 0.970
C3 C 0.687 0.000 0.179
C4 C 0.868 0.500 0.970
```

Calculated values
Space group: Cm
Energy above the lowest structure with this stoichiometry in kcal/mol of atoms: 0.724
Formation energy in meV per atom: 469
Fermi-level density of states in states/eV/cell: 6.296
Total magnetization in μB per atom: 0.0012

***

No. 8
This record from the Alexandria database describes an optimized crystal structure of TbYHf. The functional is PBE.

Geometry as CIF:
```
data_TbYHf
_space_group_name_H-M_alt 'P 1'
_space_group_IT_number 1
_cell_length_a 3.375
_cell_length_b 3.375
_cell_length_c 14.880
_cell_angle_alpha 90.00
_cell_angle_beta 90.00
_cell_angle_gamma 90.00
loop_
_space_group_symop_operation_xyz
'x,y,z'
loop_
_atom_site_label
_atom_site_type_symbol
_atom_site_fract_x
_atom_site_fract_y
_atom_site_fract_z
Tb1 Tb 0.000 0.000 0.000
Tb2 Tb 0.500 0.500 0.500
Y1 Y 0.000 0.000 0.309
Y2 Y 0.500 0.500 0.809
Hf1 Hf 0.000 0.000 0.654
Hf2 Hf 0.500 0.500 0.154
```

Calculated values
Space group: I4mm
Energy above the lowest structure with this stoichiometry in kcal/mol of atoms: 0.219
Formation energy in meV per atom: 126
Fermi-level density of states in states/eV/cell: 8.671
Total magnetization in μB per atom: 0.0000

***

Repeat the sixth record exactly.
This record from the Alexandria database describes an optimized crystal structure of TmCd2Pb2. The functional is PBE.

Geometry as CIF:
```
data_TmCd2Pb2
_space_group_name_H-M_alt 'P 1'
_space_group_IT_number 1
_cell_length_a 12.424
_cell_length_b 12.424
_cell_length_c 4.604
_cell_angle_alpha 90.00
_cell_angle_beta 90.00
_cell_angle_gamma 158.85
loop_
_space_group_symop_operation_xyz
'x,y,z'
loop_
_atom_site_label
_atom_site_type_symbol
_atom_site_fract_x
_atom_site_fract_y
_atom_site_fract_z
Tm1 Tm 0.145 0.855 0.750
Tm2 Tm 0.855 0.145 0.250
Cd1 Cd 0.042 0.958 0.250
Cd2 Cd 0.456 0.544 0.250
Cd3 Cd 0.544 0.456 0.750
Cd4 Cd 0.958 0.042 0.750
Pb1 Pb 0.249 0.751 0.250
Pb2 Pb 0.365 0.635 0.750
Pb3 Pb 0.635 0.365 0.250
Pb4 Pb 0.751 0.249 0.750
```

Calculated values
Space group: Cmcm
Formation energy in meV per atom: -193
Fermi-level density of states in states/eV/cell: 4.899
Total magnetization in μB per atom: 0.0000

***

What did the fifth record say?
This record from the Alexandria database describes an optimized crystal structure of TbSc2Cu3. The functional is PBE.

Geometry as CIF:
```
data_TbSc2Cu3
_space_group_name_H-M_alt 'P 1'
_space_group_IT_number 1
_cell_length_a 3.313
_cell_length_b 3.313
_cell_length_c 10.107
_cell_angle_alpha 90.00
_cell_angle_beta 90.00
_cell_angle_gamma 90.00
loop_
_space_group_symop_operation_xyz
'x,y,z'
loop_
_atom_site_label
_atom_site_type_symbol
_atom_site_fract_x
_atom_site_fract_y
_atom_site_fract_z
Tb1 Tb 0.000 0.000 0.000
Sc1 Sc 0.000 0.000 0.341
Sc2 Sc 0.000 0.000 0.659
Cu1 Cu 0.500 0.500 0.190
Cu2 Cu 0.500 0.500 0.500
Cu3 Cu 0.500 0.500 0.810
```

Calculated values
Space group: P4/mmm
Formation energy in meV per atom: -256
Fermi-level density of states in states/eV/cell: 3.027
Total magnetization in μB per atom: 0.0000